Model P:
This record from the Alexandria database describes a PBEsol-optimized structure of SrTe2Os. The functional is meta-GGA SCAN.

a = 3.8068 Å, b = 4.8637 Å, c = 12.4232 Å
α = 90.00°, β = 90.00°, γ = 90.00°
Space group Amm2 (No. 38)
One atom of each set of equivalent atoms:
Sr1 0.0000 0.0000 0.0000
Te1 0.0000 0.0000 0.7070
Te2 0.5000 0.0000 0.3675
Os1 0.5000 0.0000 0.5713

## Properties
Theoretical density (g/cm3): 7.70


Model Q:
This record from the Alexandria database describes a PBEsol-optimized structure of SrTe2Os. The functional is meta-GGA SCAN.

a = 3.4591 Å, b = 3.4591 Å, c = 7.7913 Å
α = 90.00°, β = 90.00°, γ = 90.00°
Space group P4/mmm (No. 123)
One atom of each set of equivalent atoms:
Sr1 0.0000 0.0000 0.0000
Te1 0.5000 0.5000 0.2991
Os1 0.0000 0.0000 0.5000

## Properties
Theoretical density (g/cm3): 9.49


The most stable structure shown above is model P; the least stable is model Q.